1.
Below is K2SnO2 after structural relaxation, with properties calculated at the GGA-PBE level.

Cell and atoms, written as POSCAR:
```
K2SnO2
1.0
7.292 0.000 0.000
3.630 6.681 0.000
3.330 -1.025 9.433
K Sn O
8 4 8
Direct
0.062 0.457 0.173
0.072 0.933 0.185
0.242 0.258 0.488
0.392 0.573 0.859
0.608 0.427 0.141
0.758 0.742 0.512
0.928 0.067 0.815
0.938 0.543 0.827
0.306 0.702 0.474
0.393 0.056 0.878
0.607 0.944 0.122
0.694 0.298 0.526
0.063 0.216 0.985
0.197 0.598 0.351
0.342 0.484 0.623
0.495 0.811 0.008
0.505 0.189 0.992
0.658 0.516 0.377
0.803 0.402 0.649
0.937 0.784 0.015
```

Computed properties:
N(E_F) = 0.00 states/eV/cell
symmetry = P-1 (2)
raw formation energy = -1.420 eV per atom

=====

2.
Below is K2SnO3 after structural relaxation, with properties calculated at the GGA-PBE level.

Cell and atoms, written as POSCAR:
```
K2SnO3
1.0
5.845 0.000 0.000
0.000 10.565 0.000
0.000 0.000 7.107
K Sn O
8 4 12
Direct
0.235 0.087 0.115
0.235 0.413 0.115
0.265 0.587 0.615
0.265 0.913 0.615
0.735 0.087 0.385
0.735 0.413 0.385
0.765 0.587 0.885
0.765 0.913 0.885
0.227 0.750 0.160
0.273 0.250 0.660
0.727 0.750 0.340
0.773 0.250 0.840
0.011 0.121 0.725
0.011 0.379 0.725
0.155 0.750 0.891
0.345 0.250 0.391
0.489 0.621 0.225
0.489 0.879 0.225
0.511 0.121 0.775
0.511 0.379 0.775
0.655 0.750 0.609
0.845 0.250 0.109
0.989 0.621 0.275
0.989 0.879 0.275
```

Computed properties:
N(E_F) = 0.00 states/eV/cell
symmetry = Pnma (62)
raw formation energy = -1.616 eV per atom

=====

3.
Below is KSnO3 after structural relaxation, with properties calculated at the GGA-PBE level.

Cell and atoms, written as POSCAR:
```
KSnO3
1.0
4.436 0.000 0.000
0.000 4.436 0.000
0.000 0.000 4.436
K Sn O
1 1 3
Direct
0.000 0.000 0.000
0.500 0.500 0.500
0.000 0.000 0.500
0.000 0.500 0.000
0.500 0.000 0.000
```

Computed properties:
N(E_F) = 3.16 states/eV/cell
symmetry = Pm-3m (221)
raw formation energy = 0.492 eV per atom